DFT (PBE) results for crystalline LaZr2VIn at its relaxed geometry.

It has space group P4/mmm (No. 123), with a = 5.0084 Å, b = 5.0084 Å, c = 5.1681 Å, α = 90.00°, β = 90.00° and γ = 90.00°. The asymmetric unit holds La at (0.0000, 0.0000, 0.0000), Zr at (0.0000, 0.5000, 0.5000), V at (0.0000, 0.0000, 0.5000) and In at (0.5000, 0.5000, 0.0000).

The formation energy comes out at 432 meV/atom.


DFT (PBE) results for crystalline TiAs2P at its relaxed geometry.

It has space group I-42d (No. 122), with a = 5.8029 Å, b = 5.8029 Å, c = 11.2113 Å, α = 90.00°, β = 90.00° and γ = 90.00°. The asymmetric unit holds Ti at (0.0000, 0.0000, 0.0000), As at (0.2401, 0.2500, 0.6250) and P at (0.0000, 0.0000, 0.5000).

The formation energy comes out at 95 meV/atom.


DFT (PBE) results for crystalline SnPSO2 at its relaxed geometry.

It has space group P4/mmm (No. 123), with a = 3.8171 Å, b = 3.8171 Å, c = 6.4117 Å, α = 90.00°, β = 90.00° and γ = 90.00°. The asymmetric unit holds Sn at (0.0000, 0.0000, 0.0000), P at (0.0000, 0.0000, 0.5000), S at (0.5000, 0.5000, 0.5000) and O at (0.0000, 0.5000, 0.0000).

As for the formation energy without anion corrections: -0.05 eV per atom.


DFT (PBE) results for crystalline GePtCl2 at its relaxed geometry.

It has space group I-42d (No. 122), with a = 4.4918 Å, b = 4.4918 Å, c = 16.6827 Å, α = 90.00°, β = 90.00° and γ = 90.00°. The asymmetric unit holds Ge at (0.0000, 0.0000, 0.0000), Pt at (0.0000, 0.0000, 0.5000) and Cl at (0.2324, 0.2500, 0.6250).

As for the formation energy without anion corrections: 0.13 eV per atom.


Number 1: theoretical density 6239 kg/m3. Number 2: theoretical density 4023 kg/m3. Number 3: theoretical density 3799 kg/m3. Number 4: theoretical density 6682 kg/m3.